1.
PBE-GGA LaNpMnN3, relaxed; density = 8.82 g/cm³; final energy = -9.607 eV per atom; formation energy without anion corrections = -938 meV per atom; SG = P2_1/m
1.0
-2.6640 1.3190 -1.6209
-4.0948 -5.7782 2.0278
-0.9701 4.7778 5.4821
La Np Mn N
2 2 2 6
direct
0.7500 0.8178 0.7895
0.2500 0.1822 0.2105
0.2500 0.6606 0.1758
0.7500 0.3394 0.8242
0.2500 0.0859 0.5804
0.7500 0.9141 0.4196
0.2500 0.8196 0.5185
0.7500 0.8708 0.1475
0.7500 0.4396 0.1349
0.7500 0.1804 0.4815
0.2500 0.5604 0.8651
0.2500 0.1292 0.8525


2.
PBE-GGA LaMn2OsN, relaxed; density = 10.02 g/cm³; final energy = -8.371 eV per atom; formation energy without anion corrections = 194 meV per atom; SG = P4/mmm
1.0
4.2903 0.0000 0.0000
0.0000 4.0771 0.0000
0.0000 0.0000 4.2903
N Mn Os La
1 2 1 1
direct
0.0000 0.0000 0.0000
0.0000 0.0000 0.5000
0.5000 0.0000 0.0000
0.0000 0.5000 0.0000
0.5000 0.5000 0.5000


3.
PBE-GGA LaMn2PN, relaxed; density = 7.01 g/cm³; final energy = -8.285 eV per atom; formation energy without anion corrections = -885 meV per atom; SG = Cmcm
1.0
3.7713 0.0000 0.0000
-1.8856 5.3139 0.0000
0.0000 0.0000 6.9476
La Mn P N
2 4 2 2
direct
0.4549 0.9099 0.7500
0.5451 0.0901 0.2500
0.1704 0.3409 0.9431
0.8296 0.6591 0.0569
0.1704 0.3409 0.5569
0.8296 0.6591 0.4431
0.7309 0.4617 0.7500
0.2691 0.5383 0.2500
0.0000 0.0000 0.0000
0.0000 0.0000 0.5000


4.
PBE-GGA LaPaMnN3, relaxed; density = 8.46 g/cm³; final energy = -9.267 eV per atom; formation energy without anion corrections = -1172 meV per atom; SG = P2_1/m
1.0
3.4610 0.0000 0.0000
0.0000 7.4103 0.5664
0.0000 -2.2506 6.9759
La Pa Mn N
2 2 2 6
direct
0.7500 0.8210 0.7878
0.2500 0.1790 0.2122
0.2500 0.6650 0.1820
0.7500 0.3350 0.8180
0.2500 0.0809 0.5717
0.7500 0.9191 0.4283
0.2500 0.8189 0.5245
0.7500 0.8703 0.1453
0.7500 0.4435 0.1384
0.7500 0.1811 0.4755
0.2500 0.5565 0.8616
0.2500 0.1297 0.8547


5.
PBE-GGA LaPaMnN4, relaxed; density = 9.02 g/cm³; final energy = -9.235 eV per atom; formation energy without anion corrections = -1107 meV per atom; SG = I4mm
1.0
3.7218 0.0000 0.0000
0.0000 3.7218 0.0000
-1.8609 -1.8609 6.3889
La Pa Mn N
1 1 1 4
direct
0.6461 0.6461 0.2922
0.3613 0.3613 0.7226
0.9868 0.9868 0.9736
0.9894 0.4894 0.9789
0.4894 0.9894 0.9789
0.8331 0.8331 0.6662
0.1939 0.1939 0.3878


6.
PBE-GGA LaPa3Mn4N12, relaxed; density = 6.49 g/cm³; final energy = -9.112 eV per atom; formation energy without anion corrections = -612 meV per atom; SG = R32
1.0
-3.5269 5.0708 -3.4533
-4.9195 -4.8307 1.5937
1.7106 2.9259 6.2121
La Pa Mn N
1 3 4 12
direct
0.0000 0.0000 0.0000
0.5482 0.4518 0.0000
0.4518 0.0000 0.5482
0.0000 0.5482 0.4518
0.9510 0.0490 0.5000
0.0490 0.5000 0.9510
0.5000 0.9510 0.0490
0.5000 0.5000 0.5000
0.5000 0.3443 0.6557
0.8925 0.5000 0.1075
0.1075 0.8925 0.5000
0.5000 0.1075 0.8925
0.3517 0.9706 0.2079
0.2079 0.3517 0.9706
0.9706 0.2079 0.3517
0.6483 0.7921 0.0294
0.0294 0.6483 0.7921
0.7921 0.0294 0.6483
0.6557 0.5000 0.3443
0.3443 0.6557 0.5000


7.
PBE-GGA La2PaMn2N6, relaxed; density = 7.04 g/cm³; final energy = -8.854 eV per atom; formation energy without anion corrections = -887 meV per atom; SG = R-3m
1.0
-3.2948 1.8184 -4.2680
-1.3622 -3.5335 -4.2471
-6.3579 -2.2954 0.1371
La Pa Mn N
2 1 2 6
direct
0.7897 0.7897 0.6308
0.2102 0.2102 0.3692
0.0000 0.0000 0.0000
0.4039 0.4039 0.7883
0.5961 0.5961 0.2117
0.7456 0.7456 0.2751
0.2337 0.7456 0.2751
0.7456 0.2337 0.2751
0.2544 0.7663 0.7249
0.7663 0.2544 0.7249
0.2544 0.2544 0.7249


8.
PBE-GGA La2PaMnN5, relaxed; density = 8.48 g/cm³; final energy = -8.968 eV per atom; formation energy without anion corrections = -1174 meV per atom; SG = P4/mmm
1.0
-1.0808 -0.9314 -3.4781
1.0382 -3.5578 0.6301
-8.0545 -1.8206 2.9905
La Pa Mn N
2 1 1 5
direct
0.5000 0.5000 0.3005
0.5000 0.5000 0.6995
0.0000 0.0000 0.0000
0.0000 0.0000 0.5000
0.0000 0.5000 0.5000
0.5000 0.0000 0.5000
0.0000 0.0000 0.7617
0.0000 0.0000 0.2383
0.5000 0.5000 0.0000


9.
PBE-GGA La2MnPbN, relaxed; density = 7.90 g/cm³; final energy = -6.846 eV per atom; formation energy without anion corrections = -635 meV per atom; SG = P4/mmm
1.0
-2.9284 -0.0868 4.4650
-2.1252 -4.6689 -1.4846
3.0012 -1.9798 1.9298
Pb N Mn La
1 1 1 2
direct
0.5000 0.5000 0.5000
0.0000 0.0000 0.0000
0.0000 0.0000 0.5000
0.0000 0.5000 0.0000
0.5000 0.0000 0.0000


10.
PBE-GGA La2MnPdN, relaxed; density = 7.40 g/cm³; final energy = -7.258 eV per atom; formation energy without anion corrections = -749 meV per atom; SG = P4/mmm
1.0
5.2508 0.0000 0.0000
0.0000 5.2508 0.0000
0.0000 0.0000 3.6899
N Mn Pd La
1 1 1 2
direct
0.0000 0.0000 0.0000
0.0000 0.0000 0.5000
0.5000 0.5000 0.5000
0.0000 0.5000 0.0000
0.5000 0.0000 0.0000


11.
PBE-GGA La2PmMnN4, relaxed; density = 6.83 g/cm³; final energy = -8.091 eV per atom; formation energy without anion corrections = -956 meV per atom; SG = Cmcm
1.0
3.5202 0.0000 0.0000
-1.7601 5.9338 0.0000
0.0000 0.0000 12.4193
La Pm Mn N
4 2 2 8
direct
0.3677 0.7353 0.5448
0.6323 0.2647 0.0448
0.6323 0.2647 0.4552
0.3677 0.7353 0.9552
0.1055 0.2111 0.7500
0.8945 0.7889 0.2500
0.8306 0.6612 0.7500
0.1694 0.3388 0.2500
0.2783 0.5566 0.1405
0.7217 0.4434 0.6405
0.7217 0.4434 0.8595
0.2783 0.5566 0.3595
0.0000 0.0000 0.5000
0.0000 0.0000 0.0000
0.4182 0.8363 0.7500
0.5818 0.1637 0.2500


12.
PBE-GGA LaPrMnN4, relaxed; density = 6.11 g/cm³; final energy = -8.342 eV per atom; formation energy without anion corrections = -888 meV per atom; SG = P2_1/m
1.0
5.6963 0.0000 0.0168
0.0000 5.4043 0.0000
-2.2047 0.0000 6.8885
La Pr Mn N
2 2 2 8
direct
0.7835 0.7500 0.4662
0.2165 0.2500 0.5338
0.7253 0.7500 0.9452
0.2747 0.2500 0.0548
0.2263 0.7500 0.2856
0.7737 0.2500 0.7144
0.9721 0.4976 0.7713
0.0279 0.9976 0.2287
0.0279 0.5024 0.2287
0.9721 0.0024 0.7713
0.4356 0.7500 0.1512
0.5644 0.2500 0.8488
0.3697 0.7500 0.5325
0.6303 0.2500 0.4675


13.
PBE-GGA La2MnPtN, relaxed; density = 8.90 g/cm³; final energy = -7.544 eV per atom; formation energy without anion corrections = -866 meV per atom; SG = P4/mmm
1.0
5.2293 0.0000 0.0000
0.0000 5.2293 0.0000
0.0000 0.0000 3.6969
N Mn Pt La
1 1 1 2
direct
0.0000 0.0000 0.0000
0.0000 0.0000 0.5000
0.5000 0.5000 0.5000
0.0000 0.5000 0.0000
0.5000 0.0000 0.0000


14.
PBE-GGA La2PuMnN5, relaxed; density = 8.19 g/cm³; final energy = -9.316 eV per atom; formation energy without anion corrections = -985 meV per atom; SG = Cmc2_1
1.0
-1.1514 3.1541 1.0211
-3.4076 -1.1478 -6.3280
-8.0155 -4.5931 5.1495
La Pu Mn N
4 2 2 10
direct
0.8633 0.7266 0.8329
0.1113 0.2226 0.6827
0.1367 0.2734 0.3329
0.8887 0.7774 0.1827
0.8080 0.6159 0.5291
0.1920 0.3841 0.0291
0.5409 0.0819 0.9357
0.4591 0.9181 0.4357
0.3389 0.6779 0.0103
0.6717 0.3434 0.8912
0.4929 0.9857 0.7829
0.2916 0.5833 0.6603
0.9744 0.9488 0.4989
0.6611 0.3221 0.5103
0.3283 0.6566 0.3912
0.5071 0.0143 0.2829
0.7084 0.4167 0.1603
0.0256 0.0512 0.9989


15.
PBE-GGA LaPuMnN3, relaxed; density = 8.82 g/cm³; final energy = -9.781 eV per atom; formation energy without anion corrections = -880 meV per atom; SG = P2_1/m
1.0
-0.0923 0.7124 3.5026
-4.1762 -5.9567 1.1015
7.3151 -1.4256 0.4826
La Pu Mn N
2 2 2 6
direct
0.7500 0.7420 0.7598
0.2500 0.2580 0.2402
0.2500 0.6868 0.1801
0.7500 0.3132 0.8199
0.2500 0.9654 0.5720
0.7500 0.0346 0.4280
0.2500 0.7089 0.5041
0.7500 0.9011 0.1661
0.7500 0.4549 0.1333
0.7500 0.2911 0.4959
0.2500 0.5451 0.8667
0.2500 0.0989 0.8339


16.
PBE-GGA La3PuMn2N6, relaxed; density = 7.21 g/cm³; final energy = -9.029 eV per atom; formation energy without anion corrections = -911 meV per atom; SG = P-3m1
1.0
-0.7869 3.1053 -4.8635
1.7554 -5.5426 -0.3362
-6.3924 -2.0095 -0.2488
La Pu Mn N
3 1 2 6
direct
0.3333 0.6667 0.6718
0.6667 0.3333 0.3282
0.0000 0.0000 0.0000
0.0000 0.0000 0.5000
0.6667 0.3333 0.8010
0.3333 0.6667 0.1990
0.6596 0.8298 0.2938
0.1702 0.3404 0.2938
0.1702 0.8298 0.2938
0.8298 0.6596 0.7062
0.3404 0.1702 0.7062
0.8298 0.1702 0.7062


17.
PBE-GGA RbLaMnN3, relaxed; density = 5.10 g/cm³; final energy = -6.981 eV per atom; formation energy without anion corrections = -308 meV per atom; SG = C2/m
1.0
-0.2950 -3.7761 -0.1271
1.2363 2.0307 -6.7006
7.5711 -0.7078 3.4514
Rb La Mn N
2 2 2 6
direct
0.3635 0.7269 0.9261
0.6365 0.2731 0.0739
0.6558 0.3116 0.5827
0.3442 0.6884 0.4173
0.0070 0.0140 0.3219
0.9930 0.9860 0.6781
0.8799 0.7598 0.2142
0.8481 0.6963 0.6253
0.5127 0.0253 0.3404
0.1519 0.3037 0.3747
0.4873 0.9747 0.6596
0.1201 0.2402 0.7858


18.
PBE-GGA LaMnRuN, relaxed; density = 7.25 g/cm³; final energy = -8.090 eV per atom; formation energy without anion corrections = -166 meV per atom; SG = Cm; polymorph energy (0 for the lowest one) = 141.3 meV per atom
1.0
5.2670 0.0000 -0.2424
0.0000 3.3453 0.0000
-1.5908 0.0000 8.1003
La Mn Ru N
2 2 2 2
direct
0.7237 0.0000 0.2631
0.7237 0.5000 0.7631
0.1985 0.0000 0.6216
0.1985 0.5000 0.1216
0.3181 0.0000 0.9163
0.3181 0.5000 0.4163
0.5029 0.0000 0.5317
0.5029 0.5000 0.0317


19.
PBE-GGA LaMnRuN, relaxed; density = 6.48 g/cm³; final energy = -8.133 eV per atom; formation energy without anion corrections = -208 meV per atom; SG = Cm; polymorph energy (0 for the lowest one) = 98.6 meV per atom
1.0
-0.4733 0.0952 4.5047
-0.1785 -3.9510 0.0648
8.7788 -0.3821 0.8908
Ru N Mn La
2 2 2 2
direct
0.3116 0.0000 0.9361
0.3116 0.5000 0.4361
0.3117 0.0000 0.4381
0.3117 0.5000 0.9381
0.3096 0.0000 0.6466
0.3096 0.5000 0.1466
0.8103 0.0000 0.3119
0.8103 0.5000 0.8119


20.
PBE-GGA LaMnRuN, relaxed; density = 7.83 g/cm³; final energy = -8.232 eV per atom; formation energy without anion corrections = -307 meV per atom; SG = I4mm; polymorph energy (0 for the lowest one) = 0.0 meV per atom
1.0
3.5534 0.0000 -0.3946
0.0000 3.5827 0.0000
-2.4163 0.0000 10.5615
La Mn Ru N
2 2 2 2
direct
0.2174 0.0000 0.2587
0.2174 0.5000 0.7587
0.5170 0.0000 0.5576
0.5170 0.5000 0.0576
0.9099 0.0000 0.9518
0.9099 0.5000 0.4518
0.7014 0.0000 0.7427
0.7014 0.5000 0.2427


21.
PBE-GGA LaMnRuN, relaxed; density = 7.85 g/cm³; final energy = -8.160 eV per atom; formation energy without anion corrections = -235 meV per atom; SG = P1; polymorph energy (0 for the lowest one) = 72.0 meV per atom
1.0
-0.4163 2.5074 -1.8172
1.4006 -0.6713 -3.9206
-4.0961 -2.6638 -2.7609
Ru N Mn La
1 1 1 1
direct
0.0481 0.9701 0.4424
0.1432 0.7814 0.1362
0.7518 0.5619 0.2856
0.3914 0.2884 0.8789


22.
PBE-GGA LaMnRuN, relaxed; density = 7.01 g/cm³; final energy = -8.115 eV per atom; formation energy without anion corrections = -191 meV per atom; SG = P3m1; polymorph energy (0 for the lowest one) = 116.4 meV per atom
1.0
-2.4367 0.9879 -2.9433
3.3308 -1.9710 -0.7730
-2.6391 -4.6981 0.6079
La Mn Ru N
1 1 1 1
direct
0.3333 0.6667 0.5618
0.6667 0.3333 0.0751
0.0000 0.0000 0.9927
0.6667 0.3333 0.3919